Compound: Pm2ErTh3S6
Source: Alexandria via LeMat-Bulk
Functional: PBE
Structure: optimized geometry

Cell: 17.617 3.995 8.052 Å, 90.00 105.05 90.00°
Space group C2/m (No. 12)
Unique sites:
Pm 0.166 0.000 0.333 x4
Er 0.000 0.500 0.000 x2
Th 0.000 0.500 0.500 x2
Th 0.168 0.000 0.834 x4
S 0.000 0.000 0.237 x4
S 0.161 0.500 0.083 x4
S 0.168 0.500 0.581 x4

Properties
Uncorrected formation energy in eV/atom: -1.90


Compound: Ce4CoSi
Source: Alexandria via LeMat-Bulk
Functional: PBE
Structure: optimized geometry

Cell: 4.794 6.613 8.338 Å, 90.00 90.65 90.00°
Space group P2_1/m (No. 11)
Unique sites:
Ce 0.243 0.250 0.039 x2
Ce 0.248 0.750 0.368 x2
Ce 0.255 0.534 0.727 x4
Co 0.239 0.750 0.064 x2
Si 0.247 0.250 0.414 x2

Properties
Uncorrected formation energy in eV/atom: -0.29


Compound: Sr2ZnAs2
Source: Alexandria via LeMat-Bulk
Functional: PBE
Structure: optimized geometry

Cell: 6.000 6.000 12.770 Å, 90.00 90.00 90.00°
Space group I4/mmm (No. 139)
Unique sites:
Sr 0.000 0.500 0.250 x4
Zn 0.000 0.000 0.000 x2
As 0.000 0.000 0.181 x4

Properties
Energy of formation from the pure elements in eV per atom: -0.748


Compound: SrLa2As
Source: Alexandria via LeMat-Bulk
Functional: PBE
Structure: optimized geometry

Cell: 6.346 4.050 6.957 Å, 90.00 116.53 90.00°
Space group P2/m (No. 10)
Unique sites:
Sr 0.000 0.000 0.000 x1
La 0.328 0.500 0.658 x2
As 0.500 0.000 0.000 x1

Properties
Energy of formation from the pure elements in eV per atom: -0.495


Compound: PrNd2S
Source: Alexandria via LeMat-Bulk
Functional: PBE
Structure: optimized geometry

Cell: 3.8909 3.8909 28.7817 Å, 90.00 90.00 120.00°
Space group R3m (No. 160, hexagonal axes)
Unique sites:
Pr 0.0000 0.0000 0.0000 x3
Nd 0.0000 0.0000 0.2270 x3
Nd 0.0000 0.0000 0.4397 x3
S 0.0000 0.0000 0.8331 x3

Properties
ΔE to the lowest computed polymorph in meV/atom: 0
Uncorrected formation energy in eV/atom: -0.91


Compound: NaNdCdAg
Source: Alexandria via LeMat-Bulk
Functional: PBE
Structure: optimized geometry

Cell: 7.416 7.416 7.416 Å, 90.00 90.00 90.00°
Space group F-43m (No. 216)
Unique sites:
Na 0.000 0.000 0.000 x4
Nd 0.000 0.000 0.500 x4
Cd 0.250 0.250 0.250 x4
Ag 0.250 0.250 0.750 x4

Properties
Energy of formation from the pure elements in eV per atom: -0.136


Compound: Y2SiPd
Source: Alexandria via LeMat-Bulk
Functional: PBE
Structure: optimized geometry

Cell: 4.970 4.970 3.549 Å, 90.00 90.00 90.00°
Space group P4/mmm (No. 123)
Unique sites:
Y 0.000 0.500 0.000 x2
Si 0.000 0.000 0.500 x1
Pd 0.500 0.500 0.500 x1

Properties
Uncorrected formation energy in eV/atom: -0.72


Compound: In2CoSnSe
Source: Alexandria via LeMat-Bulk
Functional: PBE
Structure: optimized geometry

Cell: 4.983 4.983 4.866 Å, 90.00 90.00 90.00°
Space group P4/mmm (No. 123)
Unique sites:
In 0.000 0.500 0.000 x2
Co 0.000 0.000 0.000 x1
Sn 0.000 0.000 0.500 x1
Se 0.500 0.500 0.500 x1

Properties
Uncorrected formation energy in eV/atom: -0.06